Material: ZrCuPt
Method: DFT, PBE-GGA
State: relaxed

E_form, meV/atom: -139.8
M_tot, μB/f.u.: 0.000

abc: 6.240 6.240 6.240
angles: 90.00 90.00 90.00
Space group F-43m (No. 216)
Inequivalent atoms, fractional coordinates:
1 Zr 0.000 0.000 0.000 [4 per cell]
2 Cu 0.250 0.250 0.750 [4 per cell]
3 Pt 0.250 0.250 0.250 [4 per cell]